1.
A plane-wave DFT calculation with GGA-PBE was carried out for an optimized crystal structure of IrRh2N.

The structure in POSCAR format:
```
IrRh2N
1.0
6.104 0.000 0.000
0.000 6.104 0.000
0.000 0.000 5.841
Ir Rh N
4 8 4
Cartesian
0.000 0.000 0.000 Ir
0.000 3.052 1.460 Ir
3.052 0.000 4.381 Ir
3.052 3.052 2.920 Ir
0.913 1.526 3.651 Rh
1.526 3.966 5.111 Rh
1.526 5.191 2.190 Rh
2.139 1.526 0.730 Rh
3.966 4.578 0.730 Rh
4.578 0.913 2.190 Rh
4.578 2.139 5.111 Rh
5.191 4.578 3.651 Rh
0.000 0.000 2.920 N
0.000 3.052 4.381 N
3.052 0.000 1.460 N
3.052 3.052 0.000 N
```

Values from the calculation:
Crystal system   tetragonal
Space-group type   No. 122

---

2.
A plane-wave DFT calculation with GGA-PBE was carried out for an optimized crystal structure of IrRhN2.

The structure in POSCAR format:
```
IrRhN2
1.0
5.474 0.000 0.000
0.000 5.474 0.000
0.000 0.000 5.474
Ir Rh N
4 4 8
Cartesian
0.000 0.000 0.000 Ir
0.000 2.737 2.737 Ir
2.737 0.000 2.737 Ir
2.737 2.737 0.000 Ir
0.000 0.000 2.737 Rh
0.000 2.737 0.000 Rh
2.737 0.000 0.000 Rh
2.737 2.737 2.737 Rh
1.368 1.368 1.368 N
1.368 1.368 4.105 N
1.368 4.105 1.368 N
1.368 4.105 4.105 N
4.105 1.368 1.368 N
4.105 1.368 4.105 N
4.105 4.105 1.368 N
4.105 4.105 4.105 N
```

Values from the calculation:
Crystal system   cubic
Space-group type   No. 225
Relative energy among the computed polymorphs   0.880 eV/atom

---

3.
A plane-wave DFT calculation with GGA-PBE was carried out for an optimized crystal structure of IrRhSN2.

The structure in POSCAR format:
```
IrRhSN2
1.0
3.693 0.000 0.000
0.000 3.693 0.000
0.000 0.000 5.559
Ir Rh S N
1 1 1 2
Cartesian
0.000 0.000 0.000 Ir
1.847 1.847 2.779 Rh
0.000 0.000 2.779 S
0.000 1.847 0.000 N
1.847 0.000 0.000 N
```

Values from the calculation:
Crystal system   tetragonal
Space-group type   No. 123
Relative energy among the computed polymorphs   0.000 eV/atom

---

4.
A plane-wave DFT calculation with GGA-PBE was carried out for an optimized crystal structure of IrRhSN2.

The structure in POSCAR format:
```
IrRhSN2
1.0
3.686 0.000 0.000
0.000 3.686 0.000
0.000 0.000 5.421
Ir Rh S N
1 1 1 2
Cartesian
0.000 0.000 0.000 Ir
1.843 1.843 2.710 Rh
1.843 1.843 0.000 S
0.000 1.843 2.710 N
1.843 0.000 2.710 N
```

Values from the calculation:
Crystal system   tetragonal
Space-group type   No. 123
Relative energy among the computed polymorphs   0.481 eV/atom

---

5.
A plane-wave DFT calculation with GGA-PBE was carried out for an optimized crystal structure of SbIrRh2N.

The structure in POSCAR format:
```
SbIrRh2N
1.0
5.015 0.000 0.000
0.000 5.015 0.000
0.000 0.000 3.615
Sb Ir Rh N
1 1 2 1
Cartesian
0.000 0.000 0.000 Sb
2.508 2.508 1.807 Ir
0.000 2.508 1.807 Rh
2.508 0.000 1.807 Rh
2.508 2.508 0.000 N
```

Values from the calculation:
Crystal system   tetragonal
Space-group type   No. 123

---

6.
A plane-wave DFT calculation with GGA-PBE was carried out for an optimized crystal structure of IrRhSe2N.

The structure in POSCAR format:
```
IrRhSe2N
1.0
5.058 0.000 0.000
0.000 5.058 0.000
0.000 0.000 3.600
Ir Rh Se N
1 1 2 1
Cartesian
0.000 0.000 0.000 Ir
2.529 2.529 1.800 Rh
0.000 2.529 0.000 Se
2.529 0.000 0.000 Se
0.000 0.000 1.800 N
```

Values from the calculation:
Crystal system   tetragonal
Space-group type   No. 123
Relative energy among the computed polymorphs   0.000 eV/atom

---

7.
A plane-wave DFT calculation with GGA-PBE was carried out for an optimized crystal structure of IrRhSeN2.

The structure in POSCAR format:
```
IrRhSeN2
1.0
3.693 0.000 0.000
0.000 3.693 0.000
0.000 0.000 6.079
Ir Rh Se N
1 1 1 2
Cartesian
0.000 0.000 0.000 Ir
1.847 1.847 3.039 Rh
1.847 1.847 0.000 Se
0.000 1.847 3.039 N
1.847 0.000 3.039 N
```

Values from the calculation:
Crystal system   tetragonal
Space-group type   No. 123
Relative energy among the computed polymorphs   0.467 eV/atom

---

8.
A plane-wave DFT calculation with GGA-PBE was carried out for an optimized crystal structure of IrRhSe2N.

The structure in POSCAR format:
```
IrRhSe2N
1.0
4.994 0.000 0.000
0.000 4.994 0.000
0.000 0.000 3.556
Ir Rh Se N
1 1 2 1
Cartesian
0.000 0.000 0.000 Ir
2.497 2.497 1.778 Rh
0.000 2.497 1.778 Se
2.497 0.000 1.778 Se
2.497 2.497 0.000 N
```

Values from the calculation:
Crystal system   tetragonal
Space-group type   No. 123
Relative energy among the computed polymorphs   0.258 eV/atom

---

9.
A plane-wave DFT calculation with GGA-PBE was carried out for an optimized crystal structure of IrRhSeN2.

The structure in POSCAR format:
```
IrRhSeN2
1.0
3.721 0.000 0.000
0.000 3.721 0.000
0.000 0.000 5.780
Ir Rh Se N
1 1 1 2
Cartesian
0.000 0.000 0.000 Ir
1.861 1.861 2.890 Rh
0.000 0.000 2.890 Se
0.000 1.861 0.000 N
1.861 0.000 0.000 N
```

Values from the calculation:
Crystal system   tetragonal
Space-group type   No. 123
Relative energy among the computed polymorphs   0.000 eV/atom

---

10.
A plane-wave DFT calculation with GGA-PBE was carried out for an optimized crystal structure of Sr2IrRhN.

The structure in POSCAR format:
```
Sr2IrRhN
1.0
5.396 0.000 0.000
0.000 5.396 0.000
0.000 0.000 3.737
Sr Ir Rh N
2 1 1 1
Cartesian
0.000 2.698 0.000 Sr
2.698 0.000 0.000 Sr
0.000 0.000 1.869 Ir
2.698 2.698 1.869 Rh
0.000 0.000 0.000 N
```

Values from the calculation:
Crystal system   tetragonal
Space-group type   No. 123

---

11.
A plane-wave DFT calculation with GGA-PBE was carried out for an optimized crystal structure of Te2IrRhN.

The structure in POSCAR format:
```
Te2IrRhN
1.0
5.396 0.000 0.000
0.000 5.396 0.000
0.000 0.000 3.602
Te Ir Rh N
2 1 1 1
Cartesian
0.000 2.698 0.000 Te
2.698 0.000 0.000 Te
0.000 0.000 0.000 Ir
2.698 2.698 1.801 Rh
0.000 0.000 1.801 N
```

Values from the calculation:
Crystal system   tetragonal
Space-group type   No. 123
Relative energy among the computed polymorphs   0.000 eV/atom

---

12.
A plane-wave DFT calculation with GGA-PBE was carried out for an optimized crystal structure of Te2IrRhN.

The structure in POSCAR format:
```
Te2IrRhN
1.0
5.308 0.000 0.000
0.000 5.308 0.000
0.000 0.000 3.567
Te Ir Rh N
2 1 1 1
Cartesian
0.000 2.654 0.000 Te
2.654 0.000 0.000 Te
0.000 0.000 1.783 Ir
2.654 2.654 0.000 Rh
2.654 2.654 1.783 N
```

Values from the calculation:
Crystal system   tetragonal
Space-group type   No. 123
Relative energy among the computed polymorphs   0.225 eV/atom

---

13.
A plane-wave DFT calculation with GGA-PBE was carried out for an optimized crystal structure of Ir4Ru2N.

The structure in POSCAR format:
```
Ir4Ru2N
1.0
3.968 0.000 0.000
0.000 3.968 0.000
0.000 0.000 13.080
Ir Ru N
8 4 2
Cartesian
0.000 0.000 2.202 Ir
0.000 0.000 10.878 Ir
0.000 1.984 0.000 Ir
0.000 1.984 6.540 Ir
1.984 0.000 0.000 Ir
1.984 0.000 6.540 Ir
1.984 1.984 4.338 Ir
1.984 1.984 8.742 Ir
0.000 0.000 4.538 Ru
0.000 0.000 8.541 Ru
1.984 1.984 2.002 Ru
1.984 1.984 11.078 Ru
0.000 0.000 0.000 N
1.984 1.984 6.540 N
```

Values from the calculation:
Crystal system   tetragonal
Space-group type   No. 139

---

14.
A plane-wave DFT calculation with GGA-PBE was carried out for an optimized crystal structure of IrRu2N2.

The structure in POSCAR format:
```
IrRu2N2
1.0
6.369 0.000 0.000
0.000 6.369 0.000
0.000 0.000 2.679
Ir Ru N
2 4 4
Cartesian
0.000 0.000 0.000 Ir
3.184 3.184 0.000 Ir
0.984 2.201 1.340 Ru
2.201 5.385 1.340 Ru
4.168 0.984 1.340 Ru
5.385 4.168 1.340 Ru
0.899 4.083 0.000 N
2.286 0.899 0.000 N
4.083 5.470 0.000 N
5.470 2.286 0.000 N
```

Values from the calculation:
Crystal system   tetragonal
Space-group type   No. 127
Relative energy among the computed polymorphs   0.168 eV/atom

---

| no. | electronic total energy (eV per atom) | formation energy (no corrections) (eV per formula unit) |
| --- | --- | --- |
| 1 | -7.375 | 2.39 |
| 2 | -6.732 | 5.94 |
| 3 | -6.348 | 5.25 |
| 4 | -5.867 | 7.65 |
| 5 | -6.456 | 3.73 |
| 6 | -5.618 | 3.42 |
| 7 | -5.836 | 7.17 |
| 8 | -5.360 | 4.71 |
| 9 | -6.303 | 4.83 |
| 10 | -5.876 | -1.48 |
| 11 | -5.617 | 2.74 |
| 12 | -5.391 | 3.87 |
| 13 | -8.022 | 6.17 |
| 14 | -7.688 | 5.62 |